Run P
This record from Alexandria describes a PBEsol-optimized structure of TcNi2Pt. The functional is SCAN.

Geometry as CIF:
```
data_TcNi2Pt
_chemical_formula_sum 'Tc1 Ni2 Pt1'
_cell_length_a 2.640
_cell_length_b 2.640
_cell_length_c 7.126
_cell_angle_alpha 90.00
_cell_angle_beta 90.00
_cell_angle_gamma 90.00
_space_group_name_H-M_alt 'P 1'
_space_group_IT_number 1
_space_group_name_Hall 'P 1'
loop_
_atom_site_label
_atom_site_type_symbol
_atom_site_fract_x
_atom_site_fract_y
_atom_site_fract_z
_atom_site_occupancy
Ni1 Ni 0.000 0.000 0.007 1
Ni2 Ni 0.500 0.500 0.232 1
Tc1 Tc 0.500 0.500 0.769 1
Pt1 Pt 0.000 0.000 0.492 1
```

Properties
volume: 12.42 Å³ per atom

=====

Run Q
This record from Alexandria describes a PBEsol-optimized structure of TcNi2Pt. The functional is SCAN.

Geometry as CIF:
```
data_TcNi2Pt
_chemical_formula_sum 'Tc1 Ni2 Pt1'
_cell_length_a 3.525
_cell_length_b 3.754
_cell_length_c 3.754
_cell_angle_alpha 90.00
_cell_angle_beta 90.00
_cell_angle_gamma 90.00
_space_group_name_H-M_alt 'P 1'
_space_group_IT_number 1
_space_group_name_Hall 'P 1'
loop_
_atom_site_label
_atom_site_type_symbol
_atom_site_fract_x
_atom_site_fract_y
_atom_site_fract_z
_atom_site_occupancy
Ni1 Ni 0.000 0.000 0.500 1
Ni2 Ni 0.000 0.500 0.000 1
Pt1 Pt 0.500 0.500 0.500 1
Tc1 Tc 0.500 0.000 0.000 1
```

Properties
volume: 12.42 Å³ per atom

=====

Looking at the structures above, which would you pick as the most stable? I would pick run P.